No. 1
A relaxed Sr8As5H crystal. Source: the Alexandria database, functional GGA-PBE.

The value obtained for the total magnetization is 0.00 μB/atom. The calculation puts the total energy at -3.907 eV/atom.

The structure belongs to space group I-4 (No. 82); the cell edges are 9.4442, 9.4442 and 9.5447 Å and the angles 90.00°, 90.00° and 90.00°. Symmetry generates all atoms from Sr at (0.0646, 0.3177, 0.4453), Sr at (0.0719, 0.1898, 0.8230), As at (0.0000, 0.5000, 0.7500), As at (0.1321, 0.2503, 0.1330) and H at (0.0000, 0.0000, 0.5000).

=====

No. 2
A relaxed Sr2AsH4 crystal. Source: the Alexandria database, functional GGA-PBE.

The value obtained for the total magnetization is 0.00 μB/atom. The calculation puts the total energy at -3.422 eV/atom.

The structure belongs to space group I4/mmm (No. 139); the cell edges are 3.9266, 3.9266 and 13.6689 Å and the angles 90.00°, 90.00° and 90.00°. Symmetry generates all atoms from Sr at (0.0000, 0.0000, 0.1501), As at (0.0000, 0.0000, 0.5000), H at (0.0000, 0.0000, 0.3605) and H at (0.0000, 0.5000, 0.2500).

=====

No. 3
A relaxed SrAsH crystal. Source: the Alexandria database, functional GGA-PBE.

For the energy above the lowest structure with this stoichiometry, the calculation gives 106.1 meV/atom. The value obtained for the total magnetization is 0.00 μB/atom. The calculation puts the total energy at -3.846 eV/atom.

The structure belongs to space group I4mm (No. 107); the cell edges are 4.4840, 4.4840 and 7.1854 Å and the angles 90.00°, 90.00° and 90.00°. Symmetry generates all atoms from Sr at (0.0000, 0.0000, 0.0000), As at (0.0000, 0.0000, 0.4259) and H at (0.0000, 0.0000, 0.6408).

=====

No. 4
A relaxed SrAsH crystal. Source: the Alexandria database, functional GGA-PBE.

For the energy above the lowest structure with this stoichiometry, the calculation gives 0.0 meV/atom. The value obtained for the total magnetization is 0.00 μB/atom. The calculation puts the total energy at -3.952 eV/atom.

The structure belongs to space group P2_1/m (No. 11); the cell edges are 4.3766, 4.7950 and 6.4807 Å and the angles 90.00°, 97.81° and 90.00°. Symmetry generates all atoms from Sr at (0.2396, 0.2500, 0.2545), As at (0.2691, 0.2500, 0.7620) and H at (0.0421, 0.7500, 0.3906).